(1)
This record from the Alexandria database describes an optimized crystal structure of Ca2MoPt. The functional is PBE.

The space group is P4mm (No. 99) and the conventional cell measures 3.3024, 3.3024 and 9.0307 Å, with angles of 90.00, 90.00 and 90.00 degrees. Symmetry generates all atoms from Ca at (0.0000, 0.0000, 0.0000), Ca at (0.5000, 0.5000, 0.3816), Mo at (0.0000, 0.0000, 0.6283) and Pt at (0.5000, 0.5000, 0.7709).

As for the energy above the most stable polymorph in this dataset: 0 meV per atom. The formation energy is 0.06 eV per atom. The value obtained for the density of states at the Fermi level is 2.68 states/eV per cell. The calculation puts the size of the total moment at 0.0 μB/f.u.

(2)
This record from the Alexandria database describes an optimized crystal structure of RbBaHgPt2. The functional is PBE.

The space group is P4/mmm (No. 123) and the conventional cell measures 5.7987, 5.7987 and 6.4693 Å, with angles of 90.00, 90.00 and 90.00 degrees. Symmetry generates all atoms from Rb at (0.0000, 0.0000, 0.0000), Ba at (0.5000, 0.5000, 0.5000), Hg at (0.5000, 0.5000, 0.0000) and Pt at (0.0000, 0.5000, 0.5000).

The formation energy is 0.42 eV per atom. The value obtained for the density of states at the Fermi level is 3.66 states/eV per cell. The calculation puts the size of the total moment at 0.9 μB/f.u.

(3)
This record from the Alexandria database describes an optimized crystal structure of Tb2Sm3Tm8. The functional is PBE.

The space group is C2/m (No. 12) and the conventional cell measures 14.5745, 9.0852 and 6.8467 Å, with angles of 90.00, 108.77 and 90.00 degrees. Symmetry generates all atoms from Tb at (0.2171, 0.0000, 0.4234), Sm at (0.0000, 0.0000, 0.0000), Sm at (0.0000, 0.1760, 0.5000), Tm at (0.0822, 0.5000, 0.7324), Tm at (0.1179, 0.3193, 0.1760) and Tm at (0.1926, 0.0000, 0.8973).

As for the energy above the most stable polymorph in this dataset: 0 meV per atom. The formation energy is 0.24 eV per atom. The value obtained for the density of states at the Fermi level is 32.54 states/eV per cell. The calculation puts the size of the total moment at 0.0 μB/f.u.

(4)
This record from the Alexandria database describes an optimized crystal structure of Li3BiP2O8. The functional is PBE.

The space group is C2/c (No. 15) and the conventional cell measures 9.2261, 4.7251 and 15.2696 Å, with angles of 90.00, 98.13 and 90.00 degrees. Symmetry generates all atoms from Li at (0.0000, 0.0549, 0.2500), Li at (0.1718, 0.4586, 0.6790), Bi at (0.0000, 0.0000, 0.0000), P at (0.1544, 0.4620, 0.8735), O at (0.0263, 0.2391, 0.8526), O at (0.1260, 0.3758, 0.4564), O at (0.1613, 0.3376, 0.2936) and O at (0.1973, 0.2001, 0.1053).

As for the energy above the most stable polymorph in this dataset: 27 meV per atom. Its uncorrected formation energy is -2147.8 meV per atom. The value obtained for the density of states at the Fermi level is 0.00 states/eV per cell. The calculation puts the size of the total moment at 0.0 μB/f.u.